[1]
The following is a PBE-GGA calculation of a geometry-optimized La4NdTh3N8 structure, from Alexandria.

a b c (Å): 7.3948 7.3948 18.1810
angles (deg): 90.00 90.00 120.00
Space group R-3m (No. 166, hexagonal axes)
Symmetry-distinct sites (fractional):
La 0.0000 0.0000 0.0000
La 0.0000 0.5000 0.0000
Nd 0.0000 0.0000 0.5000
Th 0.0000 0.5000 0.5000
N 0.0000 0.0000 0.2428
N 0.0080 0.5040 0.7558

The formation energy from raw total energies comes out at -1485 meV per atom. The density of states at the Fermi level is 8.3 states/eV per cell.

[2]
The following is a PBE-GGA calculation of a geometry-optimized LiTmGaGe structure, from Alexandria.

a b c (Å): 6.779 6.779 6.779
angles (deg): 90.00 90.00 90.00
Space group F-43m (No. 216)
Symmetry-distinct sites (fractional):
Li 0.000 0.000 0.000
Tm 0.000 0.000 0.500
Ga 0.250 0.250 0.250
Ge 0.250 0.250 0.750

The formation energy comes out at -0.424 eV per atom. The density of states at the Fermi level is 8.7 states/eV per cell.